Record 1
The following is a DFT calculation (PBE) of a relaxed CdBiH2 crystal.

Output
For the magnetic moment, the calculation gives 0.0 μB/cell. The value obtained for the density of states at the Fermi level is 0.4794 states/eV/atom. As for the calculated volume: 28.84 Å³/atom. The energy above the most stable polymorph in this dataset comes out at 0 meV/atom.

abc: 5.9935 5.9938 6.8036
angles: 104.59 96.64 29.94
Element x y z (fractional)
Bi1 0.6016 0.0659 0.1819
H1 0.8867 0.3261 0.7256
Cd1 0.3442 0.8030 0.1831
H2 0.8666 0.2311 0.6481

***

Record 2
The following is a DFT calculation (PBE) of a relaxed CdBi3H crystal.

Output
For the magnetic moment, the calculation gives 0.0 μB/cell. The value obtained for the density of states at the Fermi level is 0.6561 states/eV/atom. As for the calculated volume: 24.77 Å³/atom. The energy above the most stable polymorph in this dataset comes out at 0 meV/atom.

abc: 4.9846 4.9846 4.9846
angles: 90.00 90.00 90.00
Element x y z (fractional)
Bi1 0.0000 0.0000 0.5000
Cd1 0.5000 0.5000 0.5000
Bi2 0.0000 0.5000 0.0000
Bi3 0.5000 0.0000 0.0000
H1 0.0000 0.0000 0.0000

***

Record 3
The following is a DFT calculation (PBE) of a relaxed Cd5Bi3H2 crystal.

Output
For the magnetic moment, the calculation gives 0.0 μB/cell. The value obtained for the density of states at the Fermi level is 0.2841 states/eV/atom. As for the calculated volume: 24.45 Å³/atom. The electronic total energy comes out at -20.98 eV per formula unit.

abc: 7.6572 11.2566 11.2568
angles: 143.84 99.29 99.29
Element x y z (fractional)
Cd1 0.5270 0.9329 0.7345
Cd2 0.1079 0.8781 0.3193
Bi1 0.9864 0.7384 0.4696
H1 0.1443 0.4220 0.9500
Bi2 0.4863 0.4696 0.7383
Cd3 0.4730 0.0671 0.2655
Cd4 0.9730 0.2655 0.0671
Bi3 0.5137 0.5304 0.2617
Cd5 0.0270 0.7345 0.9329
Cd6 0.8921 0.1219 0.6807
Bi4 0.0136 0.2616 0.5304
Cd7 0.7500 0.5010 0.4990
Bi5 0.7500 0.9608 0.0392
H2 0.3557 0.0500 0.5780
H3 0.8557 0.5780 0.0500
H4 0.6443 0.9500 0.4220
Bi6 0.2500 0.0392 0.9608
Cd8 0.3921 0.6807 0.1219
Cd9 0.6079 0.3193 0.8781
Cd10 0.2500 0.4990 0.5010

***

Record 4
The following is a DFT calculation (PBE) of a relaxed CdBiH4 crystal.

Output
For the magnetic moment, the calculation gives 0.0 μB/cell. The value obtained for the density of states at the Fermi level is 0.0000 states/eV/atom. As for the calculated volume: 17.98 Å³/atom. The electronic total energy comes out at -16.12 eV per formula unit.

abc: 6.3797 11.3873 7.5609
angles: 41.15 52.83 36.64
Element x y z (fractional)
Cd1 0.7500 0.3581 0.2839
Bi1 0.7500 0.9808 0.0383
H1 0.4850 0.3067 0.7614
H2 0.8378 0.7600 0.7278
H3 0.1622 0.2400 0.2722
H4 0.5150 0.6933 0.2386
Cd2 0.2500 0.6419 0.7161
H5 0.6622 0.5122 0.7278
H6 0.9850 0.0682 0.2386
H7 0.0150 0.9318 0.7614
H8 0.3378 0.4878 0.2722
Bi2 0.2500 0.0192 0.9617

***

Record 5
The following is a DFT calculation (PBE) of a relaxed Cd3BiH2 crystal.

Output
For the magnetic moment, the calculation gives 0.0 μB/cell. The value obtained for the density of states at the Fermi level is 0.1087 states/eV/atom. As for the calculated volume: 23.47 Å³/atom. The electronic total energy comes out at -12.08 eV per formula unit.

abc: 10.2244 6.0866 7.8149
angles: 66.25 137.57 94.75
Element x y z (fractional)
Cd1 0.8161 0.4601 0.7307
H1 0.7563 0.1189 0.3047
Cd2 0.3223 0.7221 0.0342
H2 0.6137 0.6405 0.3219
H3 0.3863 0.3595 0.6781
Cd3 0.1036 0.9603 0.3309
Cd4 0.6777 0.2779 0.9658
H4 0.2437 0.8811 0.6953
Cd5 0.1839 0.5399 0.2693
Bi1 0.2633 0.1812 0.1200
Cd6 0.8964 0.0397 0.6691
Bi2 0.7367 0.8188 0.8800

***

Record 6
The following is a DFT calculation (PBE) of a relaxed CdBiH2 crystal.

Output
For the magnetic moment, the calculation gives 0.0 μB/cell. The value obtained for the density of states at the Fermi level is 0.2413 states/eV/atom. As for the calculated volume: 17.41 Å³/atom. The energy above the most stable polymorph in this dataset comes out at 234 meV/atom.

abc: 5.7804 5.7804 5.8372
angles: 60.32 60.32 90.00
Element x y z (fractional)
Bi1 0.0000 0.0000 0.0000
Cd1 0.5000 0.5000 0.0000
H1 0.4687 0.1250 0.2500
H2 0.8750 0.7187 0.7500
Bi2 0.7500 0.2500 0.5000
H3 0.3750 0.5313 0.7500
H4 0.2813 0.6250 0.2500
Cd2 0.2500 0.7500 0.5000

***

Record 7
The following is a DFT calculation (PBE) of a relaxed CdBiH3 crystal.

Output
For the magnetic moment, the calculation gives 0.0 μB/cell. The value obtained for the density of states at the Fermi level is 0.5070 states/eV/atom. As for the calculated volume: 13.40 Å³/atom. The energy above the most stable polymorph in this dataset comes out at 142 meV/atom.

abc: 4.0614 4.0614 4.0614
angles: 90.00 90.00 90.00
Element x y z (fractional)
H1 0.0000 0.5000 0.0000
H2 0.5000 0.0000 0.0000
Bi1 0.5000 0.5000 0.5000
H3 0.0000 0.0000 0.5000
Cd1 0.0000 0.0000 0.0000

***

Record 8
The following is a DFT calculation (PBE) of a relaxed Cd2BiH crystal.

Output
For the magnetic moment, the calculation gives 0.0 μB/cell. The value obtained for the density of states at the Fermi level is 0.3512 states/eV/atom. As for the calculated volume: 23.24 Å³/atom. The electronic total energy comes out at -8.08 eV per formula unit.

abc: 5.3568 5.3568 7.5056
angles: 69.09 69.09 90.00
Element x y z (fractional)
Bi1 0.7500 0.2500 0.5000
Cd1 0.8750 0.7294 0.7500
H1 0.2500 0.7500 0.5000
Cd2 0.2706 0.6250 0.2500
H2 0.5000 0.5000 0.0000
Bi2 0.0000 0.0000 0.0000
Cd3 0.4794 0.1250 0.2500
Cd4 0.3750 0.5206 0.7500

***

Record 9
The following is a DFT calculation (PBE) of a relaxed CdBi3H crystal.

Output
For the magnetic moment, the calculation gives 1.0 μB/cell. The value obtained for the density of states at the Fermi level is 0.8562 states/eV/atom. As for the calculated volume: 37.82 Å³/atom. The energy above the most stable polymorph in this dataset comes out at 706 meV/atom.

abc: 5.7399 5.7399 5.7399
angles: 90.00 90.00 90.00
Element x y z (fractional)
Bi1 0.0000 0.0000 0.5000
Cd1 0.0000 0.0000 0.0000
H1 0.5000 0.5000 0.5000
Bi2 0.5000 0.0000 0.0000
Bi3 0.0000 0.5000 0.0000

***

Record 10
The following is a DFT calculation (PBE) of a relaxed CdBiH3 crystal.

Output
For the magnetic moment, the calculation gives 0.0 μB/cell. The value obtained for the density of states at the Fermi level is 0.2372 states/eV/atom. As for the calculated volume: 16.07 Å³/atom. The energy above the most stable polymorph in this dataset comes out at 0 meV/atom.

abc: 4.3154 4.3154 4.3154
angles: 90.00 90.00 90.00
Element x y z (fractional)
H1 0.0000 0.5000 0.0000
H2 0.0000 0.0000 0.5000
H3 0.5000 0.0000 0.0000
Bi1 0.0000 0.0000 0.0000
Cd1 0.5000 0.5000 0.5000

***

Record 11
The following is a DFT calculation (PBE) of a relaxed CdBiH2 crystal.

Output
For the magnetic moment, the calculation gives 0.0 μB/cell. The value obtained for the density of states at the Fermi level is 0.6571 states/eV/atom. As for the calculated volume: 15.27 Å³/atom. The energy above the most stable polymorph in this dataset comes out at 532 meV/atom.

abc: 4.4200 4.4200 4.4200
angles: 60.00 60.00 60.00
Element x y z (fractional)
H1 0.2500 0.2500 0.2500
H2 0.7500 0.7500 0.7500
Bi1 0.5000 0.5000 0.5000
Cd1 0.0000 0.0000 0.0000

***

Record 12
The following is a DFT calculation (PBE) of a relaxed CdBiH6Ir2 crystal.

Output
For the magnetic moment, the calculation gives 0.0 μB/cell. The value obtained for the density of states at the Fermi level is 0.1488 states/eV/atom. As for the calculated volume: 10.67 Å³/atom. The electronic total energy comes out at -41.66 eV per formula unit.

abc: 6.5216 6.5216 5.9398
angles: 107.89 107.89 103.43
Element x y z (fractional)
Bi1 0.4087 0.5913 0.7500
Bi2 0.5913 0.4087 0.2500
H1 0.8622 0.7020 0.0861
Ir1 0.7573 0.8849 0.3413
Ir2 0.2427 0.1151 0.6587
Ir3 0.8849 0.7573 0.8413
Ir4 0.1151 0.2427 0.1587
H2 0.4418 0.0210 0.7896
H3 0.1378 0.2980 0.9139
H4 0.7020 0.8622 0.5861
H5 0.5582 0.9790 0.2104
Cd1 0.7375 0.2625 0.7500
H6 0.0217 0.8354 0.5107
H7 0.9790 0.5582 0.7104
H8 0.9783 0.1646 0.4893
H9 0.2980 0.1378 0.4139
H10 0.1646 0.9783 0.9893
H11 0.8354 0.0217 0.0107
H12 0.0210 0.4418 0.2896
Cd2 0.2625 0.7375 0.2500